The following is a PBE-GGA calculation of an optimized crystal structure of Rb2Ti2Bi2O, from the Alexandria database.

Values from the calculation:
- formation energy without anion corrections (eV/atom) = -0.92
- calculated total energy (eV/cell) = -36.891
- SG = I4/mmm
- calculated density (g/cm³) = 5.08

Lattice parameters (Å, degrees): 13.7913 13.7913 13.7913 162.80 162.80 24.41
With the nearest neighbours (Å) after each atom.
Positions (direct):
Rb 0.1619 0.1619 0.0000  4 Bi 3.67
Rb 0.8381 0.8381 0.0000  4 Bi 3.67
Ti 0.0000 0.5000 0.5000  2 O 2.06
Ti 0.5000 0.0000 0.5000  2 O 2.06
Bi 0.4206 0.4206 0.0000  4 Ti 2.97
Bi 0.5794 0.5794 0.0000  4 Ti 2.97
O 0.0000 0.0000 0.0000  4 Ti 2.06

The following is a PBE-GGA calculation of an optimized crystal structure of RbTiBi2O6, from the Alexandria database.

Values from the calculation:
- formation energy without anion corrections (eV/atom) = -1.73
- calculated total energy (eV/cell) = -127.320
- SG = C2/c
- calculated density (g/cm³) = 4.99

Lattice parameters (Å, degrees): 8.2689 8.2689 7.0840 105.03 105.03 102.31
With the nearest neighbours (Å) after each atom.
Positions (direct):
Rb 0.1028 0.8972 0.7500  6 O 3.00-3.08
Rb 0.8972 0.1028 0.2500  6 O 3.00-3.08
Ti 0.1902 0.8098 0.2500  4 O 1.82-1.84
Ti 0.8098 0.1902 0.7500  4 O 1.82-1.84
Bi 0.2732 0.4458 0.8459  4 O 2.16-2.25
Bi 0.4458 0.2732 0.3459  4 O 2.16-2.25
Bi 0.5542 0.7268 0.6541  4 O 2.16-2.25
Bi 0.7268 0.5542 0.1541  4 O 2.16-2.25
O 0.0277 0.2297 0.7186  1 Ti 1.84
O 0.1846 0.6590 0.0079  1 Ti 1.82
O 0.2297 0.0277 0.2186  1 Ti 1.84
O 0.3288 0.4166 0.5456  2 Bi 2.16-2.25
O 0.3410 0.8154 0.4921  1 Ti 1.82
O 0.4166 0.3288 0.0456  2 Bi 2.16-2.25
O 0.5834 0.6712 0.9544  2 Bi 2.16-2.25
O 0.6590 0.1846 0.5079  1 Ti 1.82
O 0.6712 0.5834 0.4544  2 Bi 2.16-2.25
O 0.7703 0.9723 0.7814  1 Ti 1.84
O 0.8154 0.3410 0.9921  1 Ti 1.82
O 0.9723 0.7703 0.2814  1 Ti 1.84

The following is a PBE-GGA calculation of an optimized crystal structure of RbTi2BiO6, from the Alexandria database.

Values from the calculation:
- formation energy without anion corrections (eV/atom) = -2.40
- calculated total energy (eV/cell) = -148.775
- SG = C2/c
- calculated density (g/cm³) = 4.30

Lattice parameters (Å, degrees): 7.9035 7.9035 6.3072 102.46 102.46 86.94
With the nearest neighbours (Å) after each atom.
Positions (direct):
Rb 0.0952 0.9048 0.7500  6 O 2.77-3.10
Rb 0.9048 0.0952 0.2500  6 O 2.77-3.10
Ti 0.1821 0.3649 0.7878  4 O 1.77-1.89
Ti 0.3649 0.1821 0.2878  4 O 1.77-1.89
Ti 0.6351 0.8179 0.7122  4 O 1.77-1.89
Ti 0.8179 0.6351 0.2122  4 O 1.77-1.89
Bi 0.2964 0.7036 0.2500  4 O 2.14-2.32
Bi 0.7036 0.2964 0.7500  4 O 2.14-2.32
O 0.0371 0.7275 0.3038  1 Ti 1.84
O 0.1775 0.5922 0.8796  1 Ti 1.77
O 0.2725 0.9629 0.1962  1 Ti 1.84
O 0.2870 0.2970 0.5398  2 Ti 1.86-1.89
O 0.2970 0.2870 0.0398  2 Ti 1.86-1.89
O 0.4078 0.8225 0.6204  1 Ti 1.77
O 0.5922 0.1775 0.3796  1 Ti 1.77
O 0.7030 0.7130 0.9602  2 Ti 1.86-1.89
O 0.7130 0.7030 0.4602  2 Ti 1.86-1.89
O 0.7275 0.0371 0.8038  1 Ti 1.84
O 0.8225 0.4078 0.1204  1 Ti 1.77
O 0.9629 0.2725 0.6962  1 Ti 1.84

The following is a PBE-GGA calculation of an optimized crystal structure of RbTi2Bi2O7, from the Alexandria database.

Values from the calculation:
- formation energy without anion corrections (eV/atom) = -2.01
- calculated total energy (eV/cell) = -83.330
- SG = Imm2
- calculated density (g/cm³) = 5.51

Lattice parameters (Å, degrees): 9.0938 9.0938 9.0938 154.14 49.07 139.05
With the nearest neighbours (Å) after each atom.
Positions (direct):
Rb 0.0000 0.0000 0.0000  6 O 3.03-3.18
Ti 0.3938 0.9969 0.3969  2 O 1.77-1.87
Ti 0.6000 0.9969 0.6031  2 O 1.77-1.87
Bi 0.2772 0.5390 0.7382  4 O 2.28-2.47
Bi 0.8008 0.5390 0.2618  4 O 2.28-2.47
O 0.1136 0.7196 0.3940  1 Ti 1.77
O 0.3256 0.7196 0.6060  1 Ti 1.77
O 0.4127 0.5370 0.8757  2 Ti 2.08, 1 Bi 2.28
O 0.4282 0.1412 0.2870  1 Ti 2.04
O 0.6164 0.1164 0.5000  2 Ti 1.87
O 0.6612 0.5370 0.1243  2 Ti 2.08, 1 Bi 2.28
O 0.8542 0.1412 0.7130  1 Ti 2.04

The following is a PBE-GGA calculation of an optimized crystal structure of RbTlBiO4, from the Alexandria database.

Values from the calculation:
- formation energy without anion corrections (eV/atom) = -0.97
- calculated total energy (eV/cell) = -67.699
- SG = Imma
- calculated density (g/cm³) = 6.99

Lattice parameters (Å, degrees): 7.2462 7.2462 7.2462 120.80 119.92 89.38
With the nearest neighbours (Å) after each atom.
Positions (direct):
Rb 0.3715 0.1215 0.2500  4 O 2.64-2.66
Rb 0.6285 0.8785 0.7500  4 O 2.64-2.66
Tl 0.0000 0.5000 0.5000  6 O 2.35-2.47
Tl 0.5000 0.5000 0.0000  6 O 2.35-2.47
Bi 0.0000 0.0000 0.5000  6 O 2.27-2.29
Bi 0.0000 0.5000 0.0000  6 O 2.27-2.29
O 0.1809 0.7361 0.4448  2 Bi 2.29, 1 Tl 2.47
O 0.2087 0.2639 0.9448  2 Bi 2.29, 1 Tl 2.47
O 0.2177 0.2634 0.5457  1 Bi 2.27, 2 Tl 2.35
O 0.2177 0.6720 0.9543  1 Bi 2.27, 2 Tl 2.35
O 0.7823 0.3280 0.0457  1 Bi 2.27, 2 Tl 2.35
O 0.7823 0.7366 0.4543  1 Bi 2.27, 2 Tl 2.35
O 0.7913 0.7361 0.0552  2 Bi 2.29, 1 Tl 2.47
O 0.8191 0.2639 0.5552  2 Bi 2.29, 1 Tl 2.47

The following is a PBE-GGA calculation of an optimized crystal structure of Rb4Tm3BiO8, from the Alexandria database.

Values from the calculation:
- formation energy without anion corrections (eV/atom) = -2.37
- calculated total energy (eV/cell) = -98.823
- SG = R-3m
- calculated density (g/cm³) = 7.07

Lattice parameters (Å, degrees): 7.6998 7.6998 7.6998 54.12 54.12 54.12
With the nearest neighbours (Å) after each atom.
Positions (direct):
Rb 0.0000 0.0000 0.0000  6 O 2.86
Rb 0.0000 0.5000 0.5000  6 O 2.95-2.96
Rb 0.5000 0.0000 0.5000  6 O 2.95-2.96
Rb 0.5000 0.5000 0.0000  6 O 2.95-2.96
Tm 0.0000 0.0000 0.5000  6 O 2.29-2.32
Tm 0.0000 0.5000 0.0000  6 O 2.29-2.32
Tm 0.5000 0.0000 0.0000  6 O 2.29-2.32
Bi 0.5000 0.5000 0.5000  6 O 2.42
O 0.2100 0.7340 0.7340  2 Tm 2.29, 1 Bi 2.42
O 0.2242 0.2242 0.2242  3 Tm 2.32
O 0.2660 0.2660 0.7900  2 Tm 2.29, 1 Bi 2.42
O 0.2660 0.7900 0.2660  2 Tm 2.29, 1 Bi 2.42
O 0.7340 0.2100 0.7340  2 Tm 2.29, 1 Bi 2.42
O 0.7340 0.7340 0.2100  2 Tm 2.29, 1 Bi 2.42
O 0.7758 0.7758 0.7758  3 Tm 2.32
O 0.7900 0.2660 0.2660  2 Tm 2.29, 1 Bi 2.42

The following is a PBE-GGA calculation of an optimized crystal structure of Rb2TmBiO6, from the Alexandria database.

Values from the calculation:
- formation energy without anion corrections (eV/atom) = -1.55
- calculated total energy (eV/cell) = -55.535
- SG = Fm-3m
- calculated density (g/cm³) = 6.43

Lattice parameters (Å, degrees): 6.1760 6.1760 6.1760 60.00 60.00 60.00
With the nearest neighbours (Å) after each atom.
Positions (direct):
Rb 0.2500 0.2500 0.2500  12 O 3.09
Rb 0.7500 0.7500 0.7500  12 O 3.09
Tm 0.0000 0.0000 0.0000  6 O 2.23
Bi 0.5000 0.5000 0.5000  6 O 2.14
O 0.2552 0.2552 0.7448  1 Bi 2.14, 1 Tm 2.23
O 0.2552 0.7448 0.2552  1 Bi 2.14, 1 Tm 2.23
O 0.2552 0.7448 0.7448  1 Bi 2.14, 1 Tm 2.23
O 0.7448 0.2552 0.2552  1 Bi 2.14, 1 Tm 2.23
O 0.7448 0.2552 0.7448  1 Bi 2.14, 1 Tm 2.23
O 0.7448 0.7448 0.2552  1 Bi 2.14, 1 Tm 2.23

The following is a PBE-GGA calculation of an optimized crystal structure of Rb3TmBi2O6, from the Alexandria database.

Values from the calculation:
- formation energy without anion corrections (eV/atom) = -1.76
- calculated total energy (eV/cell) = -66.049
- SG = C2/m
- calculated density (g/cm³) = 7.09

Lattice parameters (Å, degrees): 6.2174 6.2174 6.8861 98.66 98.66 119.99
With the nearest neighbours (Å) after each atom.
Positions (direct):
Rb 0.0000 0.0000 0.0000  6 O 2.89-3.01
Rb 0.3317 0.6683 0.0000  6 O 2.90-3.00
Rb 0.6683 0.3317 0.0000  6 O 2.90-3.00
Tm 0.5000 0.5000 0.5000  6 O 2.30
Bi 0.1666 0.8334 0.5000  6 O 2.45
Bi 0.8334 0.1666 0.5000  6 O 2.45
O 0.1239 0.4387 0.3161  1 Tm 2.30, 2 Bi 2.45
O 0.2470 0.2470 0.6846  1 Tm 2.30, 2 Bi 2.45
O 0.4387 0.1239 0.3161  1 Tm 2.30, 2 Bi 2.45
O 0.5613 0.8761 0.6839  1 Tm 2.30, 2 Bi 2.45
O 0.7530 0.7530 0.3154  1 Tm 2.30, 2 Bi 2.45
O 0.8761 0.5613 0.6839  1 Tm 2.30, 2 Bi 2.45